Record 1
# KBaAs2

A geometry-optimized KBaAs2 structure (GGA-PBEsol, Alexandria via LeMat-Bulk).

abc: 3.4603 3.4603 9.4103
angles: 90.00 90.00 90.00
Closest atoms and distances in Å follow each position.
Sites, in units of the cell vectors:
As1 0.0000 0.0000 0.7540  4 Ba 3.37, 4 K 3.42, 4 As 3.46
As2 0.0000 0.0000 0.2460  4 Ba 3.37, 4 K 3.42, 4 As 3.46
Ba1 0.5000 0.5000 0.0000  8 As 3.37, 4 Ba 3.46
K1 0.5000 0.5000 0.5000  8 As 3.42, 4 K 3.46

Summary:
Symmetry   P4/mmm (123)
Energy relative to the elements   -0.43 eV per atom
E   -0.13987 Ha/atom

Record 2
# LiBe2Nb

A geometry-optimized LiBe2Nb structure (GGA-PBEsol, Alexandria via LeMat-Bulk).

abc: 4.0474 4.0474 4.0474
angles: 60.00 60.00 60.00
Closest atoms and distances in Å follow each position.
Sites, in units of the cell vectors:
Be1 0.2500 0.2500 0.2500  4 Nb 2.48, 4 Li 2.48
Be2 0.7500 0.7500 0.7500  4 Nb 2.48, 4 Li 2.48
Nb1 0.5000 0.5000 0.5000  8 Be 2.48
Li1 0.0000 0.0000 0.0000  8 Be 2.48

Summary:
Symmetry   Fm-3m (225)
Energy relative to the elements   0.24 eV per atom
E   -0.18217 Ha/atom

Record 3
# Sb2P3O12

A geometry-optimized Sb2P3O12 structure (GGA-PBEsol, Alexandria via LeMat-Bulk).

abc: 8.3775 8.3775 9.0656
angles: 62.48 62.48 60.00
Closest atoms and distances in Å follow each position.
Sites, in units of the cell vectors:
Sb1 0.8575 0.8575 0.4274  6 O 2.08-2.14
Sb2 0.1425 0.1425 0.5726  6 O 2.08-2.14
Sb3 0.6541 0.6541 0.0378  6 O 1.97-1.98
Sb4 0.3459 0.3459 0.9622  6 O 1.97-1.98
P1 0.2556 0.9544 0.2456  4 O 1.53-1.56
P2 0.9544 0.5445 0.2456  4 O 1.53-1.56
P3 0.5445 0.2556 0.2456  4 O 1.53-1.56
P4 0.4555 0.7444 0.7544  4 O 1.53-1.56
P5 0.0456 0.4555 0.7544  4 O 1.53-1.56
P6 0.7444 0.0456 0.7544  4 O 1.53-1.56
O1 0.7877 0.8406 0.8916  1 P 1.56
O2 0.4801 0.7877 0.8916  1 P 1.56
O3 0.8406 0.4801 0.8916  1 P 1.56
O4 0.4723 0.8255 0.1857  1 P 1.56
O5 0.1260 0.8686 0.2546  1 P 1.53
O6 0.2186 0.9652 0.4227  1 P 1.53
O7 0.8686 0.7508 0.2546  1 P 1.53
O8 0.8255 0.5165 0.1857  1 P 1.56
O9 0.5165 0.4723 0.1857  1 P 1.56
O10 0.6066 0.7814 0.5773  1 P 1.53
O11 0.2492 0.8740 0.7454  1 P 1.53
O12 0.0348 0.6066 0.5773  1 P 1.53
O13 0.9652 0.3934 0.4227  1 P 1.53
O14 0.7508 0.1260 0.2546  1 P 1.53
O15 0.3934 0.2186 0.4227  1 P 1.53
O16 0.4835 0.5277 0.8143  1 P 1.56
O17 0.1745 0.4835 0.8143  1 P 1.56
O18 0.1314 0.2492 0.7454  1 P 1.53
O19 0.7814 0.0348 0.5773  1 P 1.53
O20 0.8740 0.1314 0.7454  1 P 1.53
O21 0.5277 0.1745 0.8143  1 P 1.56
O22 0.1594 0.5199 0.1084  1 P 1.56
O23 0.5199 0.2123 0.1084  1 P 1.56
O24 0.2123 0.1594 0.1084  1 P 1.56

Summary:
Symmetry   R-3 (148)
E_form (uncorrected)   -1.845 eV per atom
E   -0.26123 Ha/atom

Record 4
# Mo2PbAu

A geometry-optimized Mo2PbAu structure (GGA-PBEsol, Alexandria via LeMat-Bulk).

abc: 3.4211 4.4356 4.6329
angles: 90.00 90.00 90.00
Closest atoms and distances in Å follow each position.
Sites, in units of the cell vectors:
Au1 0.0000 0.5000 0.5000  4 Pb 2.80, 4 Mo 2.88
Mo1 0.0000 0.0000 0.0000  4 Mo 2.80, 4 Pb 2.88
Mo2 0.5000 0.5000 0.0000  4 Mo 2.80, 4 Au 2.88
Pb1 0.5000 0.0000 0.5000  4 Au 2.80, 4 Mo 2.88

Summary:
Symmetry   Pmmm (47)
Energy relative to the elements   0.60 eV per atom
E   -0.26709 Ha/atom

Record 5
# CuSbW2

A geometry-optimized CuSbW2 structure (GGA-PBEsol, Alexandria via LeMat-Bulk).

abc: 2.8480 4.4289 5.1971
angles: 90.00 98.90 90.00
Closest atoms and distances in Å follow each position.
Sites, in units of the cell vectors:
Cu1 0.5000 0.5000 0.0000  4 W 2.69, 2 Sb 2.76, 2 Cu 2.85
Sb1 0.0000 0.5000 0.5000  4 W 2.75, 2 Cu 2.76, 2 Sb 2.85
W1 0.7698 0.0000 0.7673  3 W 2.57-2.85, 2 Cu 2.69, 2 Sb 2.75
W2 0.2302 0.0000 0.2327  3 W 2.57-2.85, 2 Cu 2.69, 2 Sb 2.75

Summary:
Symmetry   P2/m (10)
E_form (uncorrected)   0.615 eV per atom
E   -0.31280 Ha/atom

Record 6
# CrCoSi2

A geometry-optimized CrCoSi2 structure (GGA-PBEsol, Alexandria via LeMat-Bulk).

abc: 4.4006 4.5183 4.5114
angles: 90.30 90.00 90.00
Closest atoms and distances in Å follow each position.
Sites, in units of the cell vectors:
Cr1 0.3615 0.1247 0.0985  7 Si 2.33-2.52
Cr2 0.8615 0.8753 0.9015  7 Si 2.33-2.52
Si1 0.3435 0.6387 0.9078  3 Co 2.26-2.49, 4 Cr 2.36-2.52
Si2 0.8435 0.3613 0.0922  3 Co 2.26-2.49, 4 Cr 2.36-2.52
Si3 0.6562 0.8396 0.4157  4 Co 2.31-2.51, 3 Cr 2.33-2.50
Si4 0.1562 0.1604 0.5843  4 Co 2.31-2.51, 3 Cr 2.33-2.50
Co1 0.6389 0.3608 0.6073  7 Si 2.26-2.51
Co2 0.1389 0.6392 0.3927  7 Si 2.26-2.51

Summary:
Symmetry   P2_1 (4)
E_form (uncorrected)   -0.505 eV per atom
E   -0.28932 Ha/atom

Record 7
# ZrHgSe4

A geometry-optimized ZrHgSe4 structure (GGA-PBEsol, Alexandria via LeMat-Bulk).

abc: 5.6164 5.6164 5.6164
angles: 60.00 60.00 60.00
Closest atoms and distances in Å follow each position.
Sites, in units of the cell vectors:
Hg1 0.0000 0.0000 0.0000  12 Se 3.29, 4 Zr 3.44
Se1 0.3756 0.3756 0.3756  6 Se 2.79-2.82
Se2 0.3756 0.3756 0.8731  6 Se 2.79-2.82
Se3 0.8731 0.3756 0.3756  6 Se 2.79-2.82
Se4 0.3756 0.8731 0.3756  6 Se 2.79-2.82
Zr1 0.7500 0.7500 0.7500  12 Se 3.29, 4 Hg 3.44

Summary:
Symmetry   F-43m (216)
E_form (uncorrected)   0.254 eV per atom
E   -0.14412 Ha/atom

Record 8
# Mg3ReSe

A geometry-optimized Mg3ReSe structure (GGA-PBEsol, Alexandria via LeMat-Bulk).

abc: 5.0323 5.0323 5.0323
angles: 90.00 90.00 90.00
Closest atoms and distances in Å follow each position.
Sites, in units of the cell vectors:
Re1 0.0000 0.0000 0.0000  6 Mg 2.52
Mg1 0.0000 0.5000 0.0000  2 Re 2.52
Mg2 0.0000 0.0000 0.5000  2 Re 2.52
Mg3 0.5000 0.0000 0.0000  2 Re 2.52
Se1 0.5000 0.5000 0.5000  12 Mg 3.56

Summary:
Symmetry   Pm-3m (221)
E_form (uncorrected)   1.047 eV per atom
E   -0.12566 Ha/atom

Record 9
# Ni3OF5

A geometry-optimized Ni3OF5 structure (GGA-PBEsol, Alexandria via LeMat-Bulk).

abc: 4.5633 4.5707 9.1241
angles: 90.00 90.00 90.00
Closest atoms and distances in Å follow each position.
Sites, in units of the cell vectors:
Ni1 0.0232 0.2778 0.0000  1 O 1.84, 5 F 2.00-2.04
Ni2 0.4846 0.7442 0.8423  1 O 1.85, 5 F 1.97-2.04
Ni3 0.4846 0.7442 0.1577  1 O 1.85, 5 F 1.97-2.04
Ni4 0.5232 0.7222 0.5000  1 O 1.84, 5 F 2.00-2.04
Ni5 0.9846 0.2558 0.3423  1 O 1.85, 5 F 1.97-2.04
Ni6 0.9846 0.2558 0.6577  1 O 1.85, 5 F 1.97-2.04
O1 0.8052 0.4349 0.5000  3 Ni 1.84-1.85
O2 0.3052 0.5651 0.0000  3 Ni 1.84-1.85
F1 0.7056 0.9642 0.0000  3 Ni 2.02-2.04
F2 0.2056 0.0358 0.5000  3 Ni 2.02-2.04
F3 0.8034 0.4524 0.8318  3 Ni 1.98-2.00
F4 0.8034 0.4524 0.1682  3 Ni 1.98-2.00
F5 0.3034 0.5476 0.6682  3 Ni 1.98-2.00
F6 0.3034 0.5476 0.3318  3 Ni 1.98-2.00
F7 0.6950 0.9364 0.6705  3 Ni 1.97-2.04
F8 0.6950 0.9364 0.3295  3 Ni 1.97-2.04
F9 0.1950 0.0636 0.1705  3 Ni 1.97-2.04
F10 0.1950 0.0636 0.8295  3 Ni 1.97-2.04

Summary:
Symmetry   Pmn2_1 (31)
E_form (uncorrected)   -1.430 eV per atom
E   -0.18878 Ha/atom

Record 10
# ZrIn2Au

A geometry-optimized ZrIn2Au structure (GGA-PBEsol, Alexandria via LeMat-Bulk).

abc: 4.1628 4.1628 5.6246
angles: 111.72 111.72 90.00
Closest atoms and distances in Å follow each position.
Sites, in units of the cell vectors:
Au1 0.0000 0.0000 0.0000  4 Zr 2.94, 8 In 3.17
In1 0.7500 0.2500 0.5000  4 In 2.94, 4 Zr 3.17, 4 Au 3.17
In2 0.2500 0.7500 0.5000  4 In 2.94, 4 Au 3.17, 4 Zr 3.17
Zr1 0.5000 0.5000 0.0000  4 Au 2.94, 8 In 3.17

Summary:
Symmetry   I4/mmm (139)
Energy relative to the elements   -0.17 eV per atom
E   -0.18074 Ha/atom

Record 11
# Zn2In2Se5

A geometry-optimized Zn2In2Se5 structure (GGA-PBEsol, Alexandria via LeMat-Bulk).

abc: 4.0250 4.0250 16.1356
angles: 82.84 82.84 60.00
Closest atoms and distances in Å follow each position.
Sites, in units of the cell vectors:
Zn1 0.3112 0.3112 0.0663  4 Se 2.44-2.54
Zn2 0.4813 0.4813 0.5562  4 Se 2.36-2.48
Se1 0.9933 0.9933 0.0200  3 Zn 2.44
Se2 0.5306 0.5306 0.4083  1 Zn 2.36
Se3 0.3838 0.3838 0.8487  3 In 2.60
Se4 0.2583 0.2583 0.2252  1 Zn 2.54, 3 In 2.71
Se5 0.1297 0.1297 0.6110  3 Zn 2.48, 1 In 2.62
In1 0.8959 0.8959 0.3123  6 Se 2.71-2.78
In2 0.0750 0.0750 0.7751  4 Se 2.60-2.62

Summary:
Symmetry   R3m (160)
E_form (uncorrected)   -0.522 eV per atom
E   -0.13506 Ha/atom

Record 12
# Ta5Pt

A geometry-optimized Ta5Pt structure (GGA-PBEsol, Alexandria via LeMat-Bulk).

abc: 3.3147 4.5809 6.9392
angles: 90.00 103.82 90.00
Closest atoms and distances in Å follow each position.
Sites, in units of the cell vectors:
Pt1 0.9722 0.0000 0.9444  8 Ta 2.77-2.83
Ta1 0.8062 0.5000 0.6123  8 Ta 2.78-2.83
Ta2 0.6371 0.0000 0.2742  2 Pt 2.77, 6 Ta 2.83
Ta3 0.4722 0.5000 0.9444  4 Ta 2.78, 4 Pt 2.83
Ta4 0.3073 0.0000 0.6147  2 Pt 2.77, 6 Ta 2.83
Ta5 0.1383 0.5000 0.2765  8 Ta 2.78-2.83

Summary:
Symmetry   Cmmm (65)
Energy relative to the elements   -0.24 eV per atom
E   -0.43592 Ha/atom